1.
The following is a DFT calculation (PBE) of a relaxed structure of NaCe2SmS4.

Computed properties:
- Total energy: -49.463 eV per cell
- E_form (uncorrected): -1.881 eV per atom
- Space group: No. 10

a = 4.035 Å, b = 7.010 Å, c = 7.016 Å
α = 70.61°, β = 90.00°, γ = 90.00°
Atoms (fractional coordinates):
Na (0.500, 0.500, 0.000)
Ce (0.000, 0.000, 0.000)
Ce (0.500, 0.000, 0.500)
Sm (0.000, 0.500, 0.500)
S (0.000, 0.751, 0.747)
S (0.000, 0.249, 0.253)
S (0.500, 0.747, 0.251)
S (0.500, 0.253, 0.749)

***

2.
The following is a DFT calculation (PBE) of a relaxed structure of Sc2NbRe.

Computed properties:
- Energy above the lowest structure with this stoichiometry: 0.000 eV per atom
- Total energy: -34.161 eV per cell
- Calculated formation energy: 255 meV/atom
- Space group: No. 225

a = 4.730 Å, b = 4.730 Å, c = 4.730 Å
α = 60.00°, β = 60.00°, γ = 60.00°
Atoms (fractional coordinates):
Sc (0.250, 0.250, 0.250)
Sc (0.750, 0.750, 0.750)
Re (0.500, 0.500, 0.500)
Nb (0.000, 0.000, 0.000)

***

3.
The following is a DFT calculation (PBE) of a relaxed structure of HfOsSe3.

Computed properties:
- Energy above the lowest structure with this stoichiometry: 0.201 eV per atom
- Total energy: -27.674 eV per cell
- E_form (uncorrected): 0.792 eV per atom
- Space group: No. 221

a = 5.130 Å, b = 5.130 Å, c = 5.130 Å
α = 90.00°, β = 90.00°, γ = 90.00°
Atoms (fractional coordinates):
Hf (0.000, 0.000, 0.000)
Os (0.500, 0.500, 0.500)
Se (0.000, 0.500, 0.000)
Se (0.000, 0.000, 0.500)
Se (0.500, 0.000, 0.000)

***

4.
The following is a DFT calculation (PBE) of a relaxed structure of Ta4VRe5.

Computed properties:
- Total energy: -122.617 eV per cell
- Calculated formation energy: -385 meV/atom
- Space group: No. 123

a = 3.176 Å, b = 3.176 Å, c = 15.861 Å
α = 90.00°, β = 90.00°, γ = 90.00°
Atoms (fractional coordinates):
Ta (0.000, 0.000, 0.195)
Ta (0.000, 0.000, 0.398)
Ta (0.000, 0.000, 0.602)
Ta (0.000, 0.000, 0.805)
V (0.000, 0.000, 0.000)
Re (0.500, 0.500, 0.094)
Re (0.500, 0.500, 0.297)
Re (0.500, 0.500, 0.500)
Re (0.500, 0.500, 0.703)
Re (0.500, 0.500, 0.906)

***

Volume values, unit Å³ per atom, following the record order: 23.4, 18.7, 27.0, 16.0.